# Y2TaAg (PBE-GGA, optimized geometry)
data_Y2TaAg
_chemical_formula_sum 'Y2 Ta1 Ag1'
_cell_length_a 3.330
_cell_length_b 3.330
_cell_length_c 8.584
_cell_angle_alpha 90.00
_cell_angle_beta 90.00
_cell_angle_gamma 90.00
_space_group_name_H-M_alt 'P 4/m m m'
_space_group_IT_number 123
_space_group_name_Hall '-P 4 2'
loop_
_atom_site_label
_atom_site_type_symbol
_atom_site_fract_x
_atom_site_fract_y
_atom_site_fract_z
_atom_site_occupancy
Y1 Y 0.000 0.000 0.248 1
Ta1 Ta 0.500 0.500 0.500 1
Ag1 Ag 0.500 0.500 0.000 1
# - formation energy from the elements (eV/atom) = 0.077
# - electronic total energy (eV per atom) = -6.83
# - calculated volume (A^3/atom) = 23.8